[1]
12
Lattice="4.0542 0.0000 0.0000 -2.0271 3.5111 0.0000 0.0000 0.0000 22.4394" Properties=species:S:1:pos:R:3 comment="YAs2Pb (PBE, relaxed)" crystal_system=trigonal formation_enthalpy_0k_mev_per_atom=-193 pbc="T T T"
Y 0.0000 0.0000 0.0000
Y 0.0000 2.3407 14.9596
Y 2.0271 1.1704 7.4798
As 0.0000 0.0000 5.8756
As 0.0000 0.0000 11.5428
As 0.0000 2.3407 4.0630
As 0.0000 2.3407 20.8352
As 2.0271 1.1704 13.3554
As 2.0271 1.1704 19.0226
Pb 0.0000 0.0000 17.3352
Pb 0.0000 2.3407 9.8554
Pb 2.0271 1.1704 2.3756

[2]
8
Lattice="2.7501 0.0000 0.0000 0.0000 4.8278 0.0000 0.0000 0.0000 9.7107" Properties=species:S:1:pos:R:3 comment="Ti2IrOs (PBE, relaxed)" crystal_system=orthorhombic formation_enthalpy_0k_mev_per_atom=220 pbc="T T T"
Ti 0.0000 0.0000 2.4182
Ti 0.0000 0.0000 7.2925
Ti 1.3750 2.4139 2.4372
Ti 1.3750 2.4139 7.2735
Ir 0.0000 0.0000 4.8553
Ir 1.3750 2.4139 0.0000
Os 0.0000 0.0000 0.0000
Os 1.3750 2.4139 4.8553

[3]
16
Lattice="7.7893 0.0000 0.0000 0.0000 7.7893 0.0000 0.0000 0.0000 7.7893" Properties=species:S:1:pos:R:3 comment="NdGdErIn (PBE, relaxed)" crystal_system=cubic formation_enthalpy_0k_mev_per_atom=-165 pbc="T T T"
Nd 0.0000 0.0000 0.0000
Nd 0.0000 3.8946 3.8946
Nd 3.8946 0.0000 3.8946
Nd 3.8946 3.8946 0.0000
Gd 0.0000 0.0000 3.8946
Gd 0.0000 3.8946 0.0000
Gd 3.8946 0.0000 0.0000
Gd 3.8946 3.8946 3.8946
Er 1.9473 1.9473 5.8419
Er 1.9473 5.8419 1.9473
Er 5.8419 1.9473 1.9473
Er 5.8419 5.8419 5.8419
In 1.9473 1.9473 1.9473
In 1.9473 5.8419 5.8419
In 5.8419 1.9473 5.8419
In 5.8419 5.8419 1.9473

[4]
6
Lattice="4.8291 0.0000 0.0000 -2.4145 4.1821 0.0000 0.0000 0.0000 6.5953" Properties=species:S:1:pos:R:3 comment="Li2DyMgIn2 (PBE, relaxed)" crystal_system=trigonal formation_enthalpy_0k_mev_per_atom=-300 pbc="T T T"
Li 0.0000 2.7881 1.9615
Li 2.4145 1.3940 4.6338
Dy 0.0000 0.0000 0.0000
Mg 0.0000 0.0000 3.2977
In 0.0000 2.7881 5.0439
In 2.4145 1.3940 1.5514